(1)
Density functional theory data (GGA-PBE) for ZnReAu2 after structural relaxation.

a b c (Å): 2.747 2.747 8.990
angles (deg): 90.00 90.00 105.91
Positions (direct):
Zn 0.000 0.000 0.000
Re 0.500 0.500 0.231
Au 0.000 0.000 0.488
Au 0.500 0.500 0.761

- Mass density: 16.43 Mg/m³
- Energy: -19.3 eV for the cell shown
- Fermi-level density of states: 2.20 states/eV per cell
- Energy relative to the elements: 0.25 eV per atom
- Symmetry: No. 35


(2)
Density functional theory data (GGA-PBE) for ZnReAu3 after structural relaxation.

a b c (Å): 5.056 5.056 5.056
angles (deg): 90.00 90.00 90.00
Positions (direct):
Zn 0.000 0.000 0.000
Re 0.500 0.500 0.500
Au 0.000 0.500 0.500
Au 0.500 0.000 0.500
Au 0.500 0.500 0.000

- Mass density: 10.83 Mg/m³
- Energy: -17.2 eV for the cell shown
- Fermi-level density of states: 6.08 states/eV per cell
- Energy relative to the elements: 1.28 eV per atom
- Distance to the lowest polymorph of the same formula: 0.00 eV/f.u.
- Symmetry: No. 221


(3)
Density functional theory data (GGA-PBE) for Zn2ReAu after structural relaxation.

a b c (Å): 2.727 4.099 5.519
angles (deg): 90.00 90.00 90.00
Positions (direct):
Zn 0.000 0.000 0.000
Zn 0.500 0.500 0.272
Re 0.500 0.500 0.790
Au 0.000 0.000 0.505

- Mass density: 13.83 Mg/m³
- Energy: -17.2 eV for the cell shown
- Fermi-level density of states: 2.72 states/eV per cell
- Energy relative to the elements: 0.27 eV per atom
- Distance to the lowest polymorph of the same formula: 0.71 eV/f.u.
- Symmetry: No. 25


(4)
Density functional theory data (GGA-PBE) for ZnReAu2 after structural relaxation.

a b c (Å): 5.631 5.631 5.631
angles (deg): 151.75 128.13 60.11
Positions (direct):
Zn 0.000 0.000 0.000
Re 0.764 0.264 0.500
Au 0.244 0.744 0.500
Au 0.511 0.511 0.000

- Mass density: 16.25 Mg/m³
- Energy: -18.9 eV for the cell shown
- Fermi-level density of states: 2.62 states/eV per cell
- Energy relative to the elements: 0.35 eV per atom
- Symmetry: No. 44


(5)
Density functional theory data (GGA-PBE) for Zn2ReAu after structural relaxation.

a b c (Å): 2.729 4.304 5.353
angles (deg): 90.00 104.62 90.00
Positions (direct):
Zn 0.000 0.000 0.000
Zn 0.141 0.500 0.283
Re 0.406 0.500 0.811
Au 0.750 0.000 0.498

- Mass density: 14.03 Mg/m³
- Energy: -17.4 eV for the cell shown
- Fermi-level density of states: 2.64 states/eV per cell
- Energy relative to the elements: 0.22 eV per atom
- Distance to the lowest polymorph of the same formula: 0.55 eV/f.u.
- Symmetry: No. 6


(6)
Density functional theory data (GGA-PBE) for Zn4ReAu after structural relaxation.

a b c (Å): 4.992 4.992 4.992
angles (deg): 60.00 60.00 60.00
Positions (direct):
Zn 0.376 0.376 0.376
Zn 0.376 0.376 0.873
Zn 0.376 0.873 0.376
Zn 0.873 0.376 0.376
Re 0.750 0.750 0.750
Au 0.000 0.000 0.000

- Mass density: 12.17 Mg/m³
- Energy: -18.8 eV for the cell shown
- Fermi-level density of states: 5.01 states/eV per cell
- Energy relative to the elements: 0.33 eV per atom
- Symmetry: No. 216


(7)
Density functional theory data (GGA-PBE) for ZnReAu2 after structural relaxation.

a b c (Å): 3.937 3.937 4.207
angles (deg): 90.00 90.00 90.00
Positions (direct):
Zn 0.000 0.000 0.000
Re 0.500 0.500 0.000
Au 0.000 0.500 0.500
Au 0.500 0.000 0.500

- Mass density: 16.44 Mg/m³
- Energy: -18.4 eV for the cell shown
- Fermi-level density of states: 3.93 states/eV per cell
- Energy relative to the elements: 0.47 eV per atom
- Symmetry: No. 123


(8)
Density functional theory data (GGA-PBE) for ZnReAu2 after structural relaxation.

a b c (Å): 2.798 2.798 8.240
angles (deg): 90.00 90.00 90.00
Positions (direct):
Zn 0.000 0.000 0.000
Re 0.000 0.000 0.500
Au 0.500 0.500 0.244
Au 0.500 0.500 0.756

- Mass density: 16.62 Mg/m³
- Energy: -19.2 eV for the cell shown
- Fermi-level density of states: 3.56 states/eV per cell
- Energy relative to the elements: 0.28 eV per atom
- Symmetry: No. 123